--- i ---
Compound: Li2CaBr2
Source: Alexandria via LeMat-Bulk
Functional: GGA-PBE
Structure: optimized geometry

Cell lengths 4.8661, 4.8661, 6.4261 Å; angles 67.75, 67.75, 90.00 degrees
Positions (direct):
Ca1 0.0000 0.0000 0.0000
Li1 0.6430 0.6430 0.7139
Li2 0.3570 0.3570 0.2861
Br1 0.2500 0.7500 0.5000
Br2 0.7500 0.2500 0.5000


--- ii ---
Compound: Li2CaBr2
Source: Alexandria via LeMat-Bulk
Functional: GGA-PBE
Structure: optimized geometry

Cell lengths 9.0259, 9.0259, 3.6210 Å; angles 90.00, 90.00, 90.00 degrees
Positions (direct):
Br1 0.1339 0.6339 0.5000
Br2 0.6339 0.8661 0.5000
Br3 0.8661 0.3661 0.5000
Br4 0.3661 0.1339 0.5000
Li1 0.1023 0.3977 0.0000
Li2 0.8977 0.6023 0.0000
Li3 0.6023 0.1023 0.0000
Li4 0.3977 0.8977 0.0000
Ca1 0.5000 0.5000 0.0000
Ca2 0.0000 0.0000 0.0000


Stability, descending: i, ii


--- i ---
Compound: Li3CaBr
Source: Alexandria via LeMat-Bulk
Functional: GGA-PBE
Structure: optimized geometry

Cell lengths 6.1453, 6.1453, 6.1453 Å; angles 90.00, 90.00, 90.00 degrees
Positions (direct):
Br1 0.5000 0.5000 0.5000
Li1 0.0000 0.5000 0.0000
Li2 0.0000 0.0000 0.5000
Li3 0.5000 0.0000 0.0000
Ca1 0.0000 0.0000 0.0000


--- ii ---
Compound: Li3CaBr
Source: Alexandria via LeMat-Bulk
Functional: GGA-PBE
Structure: optimized geometry

Cell lengths 5.2005, 5.2005, 5.2005 Å; angles 90.00, 90.00, 90.00 degrees
Positions (direct):
Br1 0.0000 0.0000 0.0000
Ca1 0.5000 0.5000 0.5000
Li1 0.0000 0.5000 0.0000
Li2 0.0000 0.0000 0.5000
Li3 0.5000 0.0000 0.0000


Stability, descending: ii, i


--- i ---
Compound: LiCaSeBr2
Source: Alexandria via LeMat-Bulk
Functional: GGA-PBE
Structure: optimized geometry

Cell lengths 4.9547, 4.9547, 5.1303 Å; angles 90.00, 90.00, 90.00 degrees
Positions (direct):
Br1 0.5000 0.0000 0.0000
Br2 0.0000 0.5000 0.0000
Li1 0.0000 0.0000 0.0000
Ca1 0.5000 0.5000 0.5000
Se1 0.0000 0.0000 0.5000


--- ii ---
Compound: LiCaSeBr2
Source: Alexandria via LeMat-Bulk
Functional: GGA-PBE
Structure: optimized geometry

Cell lengths 5.6622, 5.6622, 5.6883 Å; angles 90.00, 90.00, 90.00 degrees
Positions (direct):
Ca1 0.0000 0.0000 0.0000
Br1 0.0000 0.5000 0.0000
Br2 0.5000 0.0000 0.0000
Se1 0.0000 0.0000 0.5000
Li1 0.5000 0.5000 0.5000


Stability, descending: i, ii


--- i ---
Compound: Ca2MgBr
Source: Alexandria via LeMat-Bulk
Functional: GGA-PBE
Structure: optimized geometry

Cell lengths 3.7852, 4.0470, 8.8082 Å; angles 90.01, 90.00, 90.00 degrees
Positions (direct):
Br1 0.5000 0.7500 0.7500
Mg1 0.5000 0.2500 0.2500
Ca1 0.0000 0.7501 0.4821
Ca2 0.0000 0.7499 0.0179


--- ii ---
Compound: Ca2MgBr
Source: Alexandria via LeMat-Bulk
Functional: GGA-PBE
Structure: optimized geometry

Cell lengths 6.6055, 6.6055, 5.8998 Å; angles 70.50, 70.50, 32.89 degrees
Positions (direct):
Ca1 0.9711 0.9711 0.0924
Ca2 0.7499 0.7499 0.7270
Mg1 0.5095 0.5095 0.5624
Br1 0.2695 0.2695 0.1182


--- iii ---
Compound: Ca2MgBr
Source: Alexandria via LeMat-Bulk
Functional: GGA-PBE
Structure: optimized geometry

Cell lengths 5.9255, 3.9082, 5.9228 Å; angles 89.98, 90.00, 90.00 degrees
Positions (direct):
Mg1 0.0000 0.5011 0.3746
Ca1 0.5000 0.0001 0.3756
Ca2 0.0000 0.0011 0.8743
Br1 0.5000 0.9978 0.8756


--- iv ---
Compound: Ca2MgBr
Source: Alexandria via LeMat-Bulk
Functional: GGA-PBE
Structure: optimized geometry

Cell lengths 3.9660, 3.9660, 9.5713 Å; angles 77.99, 77.99, 60.00 degrees
Positions (direct):
Mg1 0.7500 0.7500 0.7500
Ca1 0.9945 0.9945 0.0139
Ca2 0.5055 0.5055 0.4861
Br1 0.2500 0.2500 0.2500


Stability, descending: i, iv, iii, ii